*1*
Compound: HgPPt2
Source: Alexandria via LeMat-Bulk
Functional: PBE
Structure: relaxed

a = 6.617 Å, b = 6.617 Å, c = 5.979 Å
α = 56.40°, β = 56.40°, γ = 90.00°
Element x y z (fractional)
1 Pt 0.557 0.125 0.250
2 Pt 0.375 0.443 0.750
3 Pt 0.193 0.625 0.250
4 Pt 0.875 0.807 0.750
5 P 0.500 0.500 0.000
6 P 0.250 0.750 0.500
7 Hg 0.750 0.250 0.500
8 Hg 0.000 0.000 0.000

Summary:
SG: I-42d (122)
total magnetic moment: 0.0 μB per formula unit

*2*
Compound: HgPPt2
Source: Alexandria via LeMat-Bulk
Functional: PBE
Structure: relaxed

a = 7.022 Å, b = 7.022 Å, c = 7.022 Å
α = 28.95°, β = 28.95°, γ = 28.95°
Element x y z (fractional)
1 Pt 0.268 0.268 0.268
2 Pt 0.732 0.732 0.732
3 Hg 0.500 0.500 0.500
4 P 0.000 0.000 0.000

Summary:
SG: R-3m (166)
total magnetic moment: 0.0 μB per formula unit

Each structure's energy above the most stable one, in kJ/mol of atoms: *1* 7.2; *2* 0.0.

*1*
Compound: SrNi2Te
Source: Alexandria via LeMat-Bulk
Functional: PBE
Structure: relaxed

a = 4.749 Å, b = 4.749 Å, c = 4.749 Å
α = 60.00°, β = 60.00°, γ = 60.00°
Element x y z (fractional)
1 Ni 0.250 0.250 0.250
2 Ni 0.750 0.750 0.750
3 Sr 0.000 0.000 0.000
4 Te 0.500 0.500 0.500

Summary:
SG: Fm-3m (225)
total magnetic moment: 0.0 μB per formula unit

*2*
Compound: SrNi2Te
Source: Alexandria via LeMat-Bulk
Functional: PBE
Structure: relaxed

a = 4.298 Å, b = 4.653 Å, c = 4.730 Å
α = 80.55°, β = 90.00°, γ = 90.00°
Element x y z (fractional)
1 Sr 0.000 0.492 0.445
2 Ni 0.000 0.033 0.011
3 Ni 0.500 0.057 0.264
4 Te 0.500 0.918 0.781

Summary:
SG: Pm (6)
total magnetic moment: 0.0 μB per formula unit

*3*
Compound: SrNi2Te
Source: Alexandria via LeMat-Bulk
Functional: PBE
Structure: relaxed

a = 4.499 Å, b = 4.502 Å, c = 3.902 Å
α = 90.00°, β = 90.00°, γ = 90.00°
Element x y z (fractional)
1 Ni 0.000 0.000 0.000
2 Ni 0.500 0.500 0.000
3 Te 0.000 0.500 0.500
4 Sr 0.500 0.000 0.500

Summary:
SG: P4/mmm (123)
total magnetic moment: 0.0 μB per formula unit

Each structure's energy above the most stable one, in kJ/mol of atoms: *1* 29.7; *2* 0.0; *3* 34.6.

*1*
Compound: MgSc6Cd
Source: Alexandria via LeMat-Bulk
Functional: PBE
Structure: relaxed

a = 4.535 Å, b = 4.535 Å, c = 9.144 Å
α = 90.00°, β = 90.00°, γ = 90.00°
Last column: magnetic moment on the atom in μB.
Element x y z (fractional)
1 Sc 0.500 0.500 0.000  0.19
2 Sc 0.000 0.500 0.246  0.17
3 Sc 0.500 0.000 0.246  0.17
4 Sc 0.500 0.500 0.500  0.15
5 Sc 0.500 0.000 0.754  0.17
6 Sc 0.000 0.500 0.754  0.17
7 Mg 0.000 0.000 0.500  0.00
8 Cd 0.000 0.000 0.000  -0.01

Summary:
SG: P4/mmm (123)
total magnetic moment: 1.5 μB per formula unit

*2*
Compound: MgSc6Cd
Source: Alexandria via LeMat-Bulk
Functional: PBE
Structure: relaxed

a = 6.076 Å, b = 6.076 Å, c = 8.428 Å
α = 110.63°, β = 110.63°, γ = 120.71°
Element x y z (fractional)
1 Sc 0.693 0.693 0.250
2 Sc 0.738 0.175 0.750
3 Sc 0.307 0.307 0.750
4 Sc 0.175 0.738 0.750
5 Sc 0.825 0.262 0.250
6 Sc 0.262 0.825 0.250
7 Mg 0.500 0.500 0.500
8 Cd 0.000 0.000 0.000

Summary:
SG: C2/m (12)
total magnetic moment: 0.0 μB per formula unit

Each structure's energy above the most stable one, in kJ/mol of atoms: *1* 0.0; *2* 10.0.

*1*
Compound: BC2
Source: Alexandria via LeMat-Bulk
Functional: PBE
Structure: relaxed

a = 4.687 Å, b = 4.687 Å, c = 4.594 Å
α = 103.73°, β = 103.73°, γ = 117.14°
Element x y z (fractional)
1 C 0.511 0.503 0.499
2 C 0.872 0.864 0.626
3 C 0.364 0.372 0.126
4 C 0.003 0.011 0.999
5 C 0.541 0.227 0.599
6 C 0.727 0.041 0.099
7 C 0.334 0.648 0.026
8 C 0.148 0.834 0.526
9 B 0.732 0.063 0.446
10 B 0.143 0.812 0.179
11 B 0.563 0.232 0.946
12 B 0.312 0.643 0.679

Summary:
SG: C2/c (15)
total magnetic moment: 0.0 μB per formula unit

*2*
Compound: BC2
Source: Alexandria via LeMat-Bulk
Functional: PBE
Structure: relaxed

a = 4.643 Å, b = 4.643 Å, c = 7.568 Å
α = 113.98°, β = 113.98°, γ = 31.89°
Element x y z (fractional)
1 B 0.173 0.173 0.196
2 B 0.663 0.663 0.360
3 B 0.293 0.293 0.623
4 B 0.847 0.847 0.041
5 C 0.839 0.839 0.549
6 C 0.345 0.345 0.181
7 C 0.005 0.005 0.983
8 C 0.659 0.659 0.820
9 C 0.155 0.155 0.704
10 C 0.542 0.542 0.909
11 C 0.989 0.989 0.502
12 C 0.490 0.490 0.382

Summary:
SG: Cm (8)
total magnetic moment: 0.0 μB per formula unit

Each structure's energy above the most stable one, in kJ/mol of atoms: *1* 4.8; *2* 0.0.